(1)
Entry from the Alexandria database: a geometry-optimized Tb4TlPbN structure (PBE-GGA).

Output
E_form (uncorrected)   -785 meV per atom
Size of the total moment   0.00 μB per formula unit
Space group   No. 63
Raw total energy   -5.488 eV per atom

Lattice parameters (Å, degrees): 8.767 8.767 6.722 90.00 90.00 134.91
Element x y z (fractional)
Tb1 0.000 0.500 0.000
Tb2 0.000 0.500 0.500
Tb3 0.087 0.913 0.750
Tb4 0.409 0.591 0.750
Tb5 0.500 0.000 0.000
Tb6 0.500 0.000 0.500
Tb7 0.591 0.409 0.250
Tb8 0.913 0.087 0.250
Tl1 0.110 0.890 0.250
Tl2 0.890 0.110 0.750
Pb1 0.393 0.607 0.250
Pb2 0.607 0.393 0.750
N1 0.252 0.748 0.750
N2 0.748 0.252 0.250

(2)
Entry from the Alexandria database: a geometry-optimized CePaPdRu structure (PBE-GGA).

Output
Size of the total moment   0.93 μB per formula unit
Space group   No. 216
Raw total energy   -7.855 eV per atom
ΔH_f (0 K)   -1.522 eV/f.u.

Lattice parameters (Å, degrees): 4.919 4.919 4.919 60.00 60.00 60.00
Element x y z (fractional)
Ce1 0.000 0.000 0.000
Pa1 0.500 0.500 0.500
Pd1 0.250 0.250 0.250
Ru1 0.750 0.750 0.750

(3)
Entry from the Alexandria database: a geometry-optimized Ce4MnPt structure (PBE-GGA).

Output
Size of the total moment   0.32 μB per formula unit
Space group   No. 2
Raw total energy   -6.830 eV per atom
ΔH_f (0 K)   -2.035 eV/f.u.

Lattice parameters (Å, degrees): 5.777 7.262 7.611 109.39 98.41 108.26
Element x y z (fractional)
Ce1 0.058 0.414 0.239
Ce2 0.207 0.936 0.248
Ce3 0.335 0.305 0.623
Ce4 0.399 0.168 0.018
Ce5 0.601 0.832 0.982
Ce6 0.665 0.695 0.377
Ce7 0.793 0.064 0.752
Ce8 0.942 0.586 0.761
Mn1 0.237 0.498 0.018
Mn2 0.763 0.502 0.982
Pt1 0.229 0.838 0.593
Pt2 0.771 0.162 0.407

(4)
Entry from the Alexandria database: a geometry-optimized K2TbGaBr6 structure (PBE-GGA).

Output
E_form (uncorrected)   -1574 meV per atom
Size of the total moment   0.00 μB per formula unit
Space group   No. 146
Raw total energy   -3.563 eV per atom

Lattice parameters (Å, degrees): 8.239 8.239 8.239 58.11 58.11 58.11
Element x y z (fractional)
K1 0.000 0.000 0.000
K2 0.492 0.492 0.492
Tb1 0.704 0.704 0.704
Ga1 0.211 0.211 0.211
Br1 0.039 0.459 0.838
Br2 0.362 0.921 0.574
Br3 0.459 0.838 0.039
Br4 0.574 0.362 0.921
Br5 0.838 0.039 0.459
Br6 0.921 0.574 0.362